Entry from Alexandria: a relaxed Dy3VO6 crystal (PBE with a Hubbard U).

Structure (extended XYZ):
```
20
Lattice="4.498 -5.444 0.000 4.498 5.444 0.000 0.000 0.000 5.512" Properties=species:S:1:pos:R:3 pbc="T T T"
Dy 4.498 4.317 2.756
Dy 2.661 1.256 3.050
Dy 2.661 -1.256 0.294
Dy 6.336 1.256 3.050
Dy 6.336 -1.256 0.294
Dy 4.498 -4.317 0.000
V 4.498 1.646 0.349
V 4.498 -1.646 3.105
O 3.153 2.698 1.361
O 1.428 0.155 1.527
O 1.428 -0.155 4.283
O 4.498 2.422 4.095
O 5.844 2.698 1.361
O 4.498 0.144 2.052
O 4.498 -0.144 4.808
O 3.153 -2.698 4.118
O 4.498 -2.422 1.339
O 7.569 0.155 1.527
O 7.569 -0.155 4.283
O 5.844 -2.698 4.118
```

## Properties
- Space group: Cmc2_1, No. 36
- Excess energy over the best structure of this formula in the dataset: 0.0476 eV per atom

Entry from Alexandria: a relaxed BaNi2HgF crystal (PBE with a Hubbard U).

Structure (extended XYZ):
```
5
Lattice="4.747 0.000 0.000 0.000 4.747 0.000 0.000 0.000 5.302" Properties=species:S:1:pos:R:3 pbc="T T T"
Ba 0.000 0.000 0.000
Ni 0.000 2.373 2.651
Ni 2.373 0.000 2.651
Hg 2.373 2.373 2.651
F 2.373 2.373 0.000
```

## Properties
- Space group: P4/mmm, No. 123
- DFT total energy: -2.040 eV per atom